## Ce2SiGe4Rh3 (PBE-GGA)

Data for an optimized crystal structure of Ce2SiGe4Rh3.

Energy relative to the elements, uncorrected: -718.3 meV/atom
Final energy: -6.500 eV/atom
Crystal system: tetragonal

a = 4.3078 Å, b = 4.3078 Å, c = 9.9329 Å
α = 90.00°, β = 90.00°, γ = 90.00°
Closest atoms and distances in Å follow each position.
Positions (direct):
Ce: 0.0000 0.5000 0.2495  8 Ge 3.26-3.28, 6 Rh 3.29, 2 Si 3.29
Ce: 0.5000 0.0000 0.7505  8 Ge 3.26-3.28, 6 Rh 3.29, 2 Si 3.29
Si: 0.0000 0.0000 0.5000  4 Ge 2.54
Ge: 0.0000 0.0000 0.0000  4 Rh 2.48
Ge: 0.0000 0.5000 0.6349  3 Rh 2.40-2.54, 2 Si 2.54
Ge: 0.5000 0.0000 0.3651  3 Rh 2.40-2.54, 2 Si 2.54
Ge: 0.5000 0.5000 0.0000  4 Rh 2.48
Rh: 0.0000 0.5000 0.8768  5 Ge 2.40-2.48
Rh: 0.5000 0.0000 0.1232  5 Ge 2.40-2.48
Rh: 0.5000 0.5000 0.5000  4 Ge 2.54

***

## Ce2Si4GeRh3 (PBE-GGA)

Data for an optimized crystal structure of Ce2Si4GeRh3.

Energy relative to the elements, uncorrected: -863.6 meV/atom
Final energy: -6.887 eV/atom
Crystal system: tetragonal

a = 4.2039 Å, b = 4.2039 Å, c = 9.8412 Å
α = 90.00°, β = 90.00°, γ = 90.00°
Closest atoms and distances in Å follow each position.
Positions (direct):
Ce: 0.0000 0.5000 0.2454  8 Si 3.18-3.20, 6 Rh 3.21-3.27, 2 Ge 3.27
Ce: 0.5000 0.0000 0.7546  8 Si 3.18-3.20, 6 Rh 3.21-3.27, 2 Ge 3.27
Si: 0.0000 0.0000 0.0000  4 Rh 2.42
Si: 0.0000 0.5000 0.6400  3 Rh 2.35-2.51, 2 Ge 2.51
Si: 0.5000 0.0000 0.3600  3 Rh 2.35-2.51, 2 Ge 2.51
Si: 0.5000 0.5000 0.0000  4 Rh 2.42
Ge: 0.0000 0.0000 0.5000  4 Si 2.51
Rh: 0.0000 0.5000 0.8783  5 Si 2.35-2.42
Rh: 0.5000 0.0000 0.1217  5 Si 2.35-2.42
Rh: 0.5000 0.5000 0.5000  4 Si 2.51

***

## CeSiGeRh2 (PBE-GGA)

Data for an optimized crystal structure of CeSiGeRh2.

Energy relative to the elements, uncorrected: -542.2 meV/atom
Final energy: -6.678 eV/atom
Crystal system: tetragonal

a = 4.1408 Å, b = 4.1408 Å, c = 6.4922 Å
α = 90.00°, β = 90.00°, γ = 90.00°
Closest atoms and distances in Å follow each position.
Positions (direct):
Ce: 0.0000 0.0000 0.0000  1 Si 2.93, 4 Ge 3.11, 4 Rh 3.20
Si: 0.0000 0.0000 0.5486  4 Rh 2.36
Ge: 0.5000 0.5000 0.1609  4 Rh 2.49
Rh: 0.0000 0.5000 0.3749  2 Si 2.36, 2 Ge 2.49
Rh: 0.5000 0.0000 0.3749  2 Si 2.36, 2 Ge 2.49